Entry 1:
Below is a relaxed structure of Sn3ClF, with properties calculated at the PBE level.

## Properties
The calculation puts the total energy at -17.0 eV/cell. The energy above the most stable polymorph in this dataset comes out at 0 meV/atom. As for the volume: 134.6 Å³/cell. Its raw formation energy is -0.25 eV/atom. Its crystal system is cubic.

Cell and atoms, written as POSCAR:
```
Sn3ClF
1.0
-2.3288 -2.3762 3.8976
1.8272 -4.4949 -1.6487
4.1832 0.6405 2.8899
F Sn Cl
1 3 1
Cartesian
0.0000 0.0000 0.0000 F
0.9136 -2.2474 -0.8244 Sn
2.0916 0.3202 1.4449 Sn
-1.1644 -1.1881 1.9488 Sn
1.8408 -3.1153 2.5694 Cl
```

=====

Entry 2:
Below is a relaxed structure of SnClF2, with properties calculated at the PBE level.

## Properties
The calculation puts the total energy at -14.1 eV/cell. The energy above the most stable polymorph in this dataset comes out at 265 meV/atom. As for the volume: 60.3 Å³/cell. Its raw formation energy is -1.13 eV/atom. Its crystal system is cubic.

Cell and atoms, written as POSCAR:
```
SnClF2
1.0
0.0000 3.1131 3.1131
3.1131 0.0000 3.1131
3.1131 3.1131 0.0000
F Sn Cl
2 1 1
Cartesian
1.5565 1.5565 1.5565 F
4.6696 4.6696 4.6696 F
3.1131 3.1131 3.1131 Sn
0.0000 0.0000 0.0000 Cl
```

=====

Entry 3:
Below is a relaxed structure of SnClF3, with properties calculated at the PBE level.

## Properties
The calculation puts the total energy at -42.7 eV/cell. The energy above the most stable polymorph in this dataset comes out at 0 meV/atom. As for the volume: 198.0 Å³/cell. Its raw formation energy is -1.98 eV/atom. Its crystal system is trigonal.

Cell and atoms, written as POSCAR:
```
SnClF3
1.0
5.9604 0.0000 0.0000
2.9802 5.1619 0.0000
2.9802 1.7206 6.4347
Sn Cl F
2 2 6
Cartesian
2.9802 1.7206 2.7573 Sn
8.9407 5.1619 3.6774 Sn
2.9802 1.7206 0.4642 Cl
8.9407 5.1619 5.9705 Cl
3.8387 3.0825 4.0148 F
7.3320 1.7831 4.0148 F
5.2103 1.4244 2.4199 F
4.5889 5.0994 2.4199 F
8.0822 3.8000 2.4199 F
6.7106 5.4581 4.0148 F
```

=====

Entry 4:
Below is a relaxed structure of SrSnClF2, with properties calculated at the PBE level.

## Properties
The calculation puts the total energy at -20.3 eV/cell. As for the volume: 137.6 Å³/cell. Its raw formation energy is -1.81 eV/atom. Its crystal system is tetragonal.

Cell and atoms, written as POSCAR:
```
SrSnClF2
1.0
4.5873 0.0000 0.0000
0.0000 6.5371 0.0000
0.0000 0.0000 4.5873
Sr F Sn Cl
1 2 1 1
Cartesian
2.2937 3.2685 2.2937 Sr
0.0000 0.0000 2.2937 F
2.2937 0.0000 0.0000 F
0.0000 0.0000 0.0000 Sn
0.0000 3.2685 0.0000 Cl
```

=====

Entry 5:
Below is a relaxed structure of TaSn2ClF, with properties calculated at the PBE level.

## Properties
The calculation puts the total energy at -24.5 eV/cell. As for the volume: 139.2 Å³/cell. Its raw formation energy is -0.18 eV/atom. Its crystal system is tetragonal.

Cell and atoms, written as POSCAR:
```
TaSn2ClF
1.0
5.4450 0.0000 0.0000
0.0000 4.6965 0.0000
0.0000 0.0000 5.4450
F Cl Sn Ta
1 1 2 1
Cartesian
2.7225 2.3482 2.7225 F
0.0000 2.3482 0.0000 Cl
0.0000 0.0000 2.7225 Sn
2.7225 0.0000 0.0000 Sn
0.0000 0.0000 0.0000 Ta
```

=====

Entry 6:
Below is a relaxed structure of TaSnClF2, with properties calculated at the PBE level.

## Properties
The calculation puts the total energy at -19.4 eV/cell. As for the volume: 100.3 Å³/cell. Its raw formation energy is 0.41 eV/atom. Its crystal system is tetragonal.

Cell and atoms, written as POSCAR:
```
TaSnClF2
1.0
4.2618 0.0000 0.0000
0.0000 5.5238 0.0000
0.0000 0.0000 4.2618
F Cl Sn Ta
2 1 1 1
Cartesian
0.0000 0.0000 2.1309 F
2.1309 0.0000 0.0000 F
0.0000 0.0000 0.0000 Cl
0.0000 2.7619 0.0000 Sn
2.1309 2.7619 2.1309 Ta
```

=====

Entry 7:
Below is a relaxed structure of TcSnClF2, with properties calculated at the PBE level.

## Properties
The calculation puts the total energy at -22.5 eV/cell. As for the volume: 122.1 Å³/cell. Its raw formation energy is -0.50 eV/atom. Its crystal system is tetragonal.

Cell and atoms, written as POSCAR:
```
TcSnClF2
1.0
-2.6651 -3.5638 -0.3791
-0.3228 -0.4072 6.0980
-3.5761 2.6755 -0.0107
F Cl Sn Tc
2 1 1 1
Cartesian
-1.7881 1.3377 -0.0053 F
-1.3326 -1.7819 -0.1895 F
-0.1614 -0.2036 3.0490 Cl
0.0000 0.0000 0.0000 Sn
-3.2820 -0.6478 2.8541 Tc
```

=====

Entry 8:
Below is a relaxed structure of TlSnCl2F, with properties calculated at the PBE level.

## Properties
The calculation puts the total energy at -18.6 eV/cell. The energy above the most stable polymorph in this dataset comes out at 51 meV/atom. As for the volume: 148.3 Å³/cell. Its raw formation energy is -1.34 eV/atom. Its crystal system is tetragonal.

Cell and atoms, written as POSCAR:
```
TlSnCl2F
1.0
-3.0323 -2.9874 -3.7839
4.8194 -1.9953 -2.2868
-0.1013 -3.5488 2.8829
Tl F Sn Cl
1 1 1 2
Cartesian
0.8429 -4.2658 -1.5939 Tl
-0.0507 -1.7744 1.4415 F
0.0000 0.0000 0.0000 Sn
2.4097 -0.9977 -1.1434 Cl
-1.5162 -1.4937 -1.8920 Cl
```

=====

Entry 9:
Below is a relaxed structure of TlSnCl2F, with properties calculated at the PBE level.

## Properties
The calculation puts the total energy at -37.8 eV/cell. The energy above the most stable polymorph in this dataset comes out at 0 meV/atom. As for the volume: 279.4 Å³/cell. Its raw formation energy is -1.39 eV/atom. Its crystal system is monoclinic.

Cell and atoms, written as POSCAR:
```
TlSnCl2F
1.0
4.1780 0.0000 0.0000
0.0000 8.6520 0.5651
0.0000 -2.9336 7.5379
Tl Sn Cl F
2 2 4 2
Cartesian
1.0445 4.5131 2.7608 Tl
3.1335 1.2054 5.3421 Tl
1.0445 4.6644 6.8679 Sn
3.1335 1.0541 1.2350 Sn
3.1335 5.6730 5.2769 Cl
3.1335 6.0105 0.5578 Cl
1.0445 0.0454 2.8260 Cl
1.0445 -0.2920 7.5452 Cl
1.0445 3.1186 5.4628 F
3.1335 2.5999 2.6401 F
```

=====

Entry 10:
Below is a relaxed structure of Tl2SnCl2F4, with properties calculated at the PBE level.

## Properties
The calculation puts the total energy at -36.5 eV/cell. As for the volume: 208.2 Å³/cell. Its raw formation energy is -1.84 eV/atom. Its crystal system is monoclinic.

Cell and atoms, written as POSCAR:
```
Tl2SnCl2F4
1.0
-0.0649 -1.5656 5.2020
-3.7419 -5.4377 -2.0541
2.4396 -6.0920 -2.1739
Tl Sn Cl F
2 1 2 4
Cartesian
-0.8399 -7.5794 -1.9447 Tl
-0.5272 -5.5159 2.9187 Tl
-0.0324 -0.7828 2.6010 Sn
-0.2613 -2.6567 1.0258 Cl
-1.1058 -10.4386 -0.0518 Cl
-2.2474 -5.4816 -0.5435 F
-2.3952 -7.2670 1.5810 F
0.8803 -7.6137 1.5175 F
1.0281 -5.8283 -0.6070 F
```

=====

Entry 11:
Below is a relaxed structure of Tl2SnCl4F2, with properties calculated at the PBE level.

## Properties
The calculation puts the total energy at -32.7 eV/cell. As for the volume: 250.8 Å³/cell. Its raw formation energy is -1.43 eV/atom. Its crystal system is monoclinic.

Cell and atoms, written as POSCAR:
```
Tl2SnCl4F2
1.0
-5.0696 -1.2349 3.4786
0.3152 -6.6638 1.7094
2.2267 -1.3937 6.3660
Tl Sn Cl F
2 1 4 2
Cartesian
0.6300 -5.9470 6.4718 Tl
-3.1577 -3.3454 5.0823 Tl
-2.5348 -0.6174 1.7393 Sn
-1.0239 -5.1371 3.2788 Cl
-2.4944 -6.8863 5.8621 Cl
-1.5038 -4.1553 8.2752 Cl
-0.0333 -2.4061 5.6920 Cl
-0.7756 -1.5631 2.0874 F
-1.7521 -7.7293 9.4667 F
```

=====

Entry 12:
Below is a relaxed structure of Tl2SnCl5F, with properties calculated at the PBE level.

## Properties
The calculation puts the total energy at -30.9 eV/cell. As for the volume: 260.1 Å³/cell. Its raw formation energy is -1.22 eV/atom. Its crystal system is tetragonal.

Cell and atoms, written as POSCAR:
```
Tl2SnCl5F
1.0
-5.0600 2.6699 4.2890
0.7936 -7.0859 -0.5366
6.8853 0.7286 1.7857
Tl Sn Cl F
2 1 5 1
Cartesian
2.8682 0.0802 3.3555 Tl
-0.1776 -3.8270 2.1943 Tl
7.6311 -6.3177 1.2414 Sn
-0.6598 -0.1909 2.3732 Cl
3.1436 -3.3846 3.1430 Cl
2.2040 -5.1340 0.0159 Cl
5.3398 -1.1114 1.2113 Cl
1.8263 -1.5120 0.2971 Cl
6.0993 -5.0496 0.9922 F
```

=====

- Which of these has the lowest raw formation energy?
  SnClF3